# BaCaTl2Pd

A relaxed structure of BaCaTl2Pd (GGA-PBE, Alexandria).

a = 5.4897 Å, b = 5.4897 Å, c = 5.3682 Å
α = 90.00°, β = 90.00°, γ = 90.00°
Sites, in units of the cell vectors:
1 Ca 0.0000 0.0000 0.5000
2 Tl 0.0000 0.5000 0.0000
3 Tl 0.5000 0.0000 0.0000
4 Pd 0.0000 0.0000 0.0000
5 Ba 0.5000 0.5000 0.5000

Values from the calculation:
The value obtained for the formation enthalpy at 0 K is -1.57 eV per formula unit. The density of states at the Fermi level comes out at 4.112 states/eV/f.u. The total magnetization is 0.00 μB/f.u. The crystal system is tetragonal. For the calculated total energy, the calculation gives -3.084 eV per atom. Its calculated volume is 161.8 Å³/cell.